DFT (PBE-GGA) results for an optimized crystal structure of Ti4FeNi3.

Structure (extended XYZ):
```
16
Lattice="4.213 0.000 0.000 0.000 6.053 0.000 0.000 0.000 8.429" Properties=species:S:1:pos:R:3 pbc="T T T"
Fe 0.000 3.027 4.215
Fe 0.000 3.027 0.000
Ti 2.106 4.518 0.000
Ti 0.002 4.517 6.322
Ti 2.106 4.518 4.215
Ti 0.002 1.536 6.322
Ti 2.106 1.536 4.215
Ti 2.106 1.536 0.000
Ti 4.211 4.517 2.107
Ti 4.211 1.536 2.107
Ni 2.109 3.027 6.322
Ni 0.000 0.000 4.215
Ni 2.109 0.000 6.322
Ni 2.104 0.000 2.107
Ni 2.104 3.027 2.107
Ni 0.000 0.000 0.000
```

**Raw total energy**: -120.44 eV/cell
**Total magnetization**: 0.00 μB/cell
**Energy relative to the elements**: -34 kJ/mol of atoms
**SG**: P4/mmm (123)